(1)
VCo4Rh | PBE-GGA | relaxed

Unit cell a=6.6041 b=6.6041 c=6.6041 alpha=90.00 beta=90.00 gamma=90.00
Last column: nearest neighbours and their distance in Å.
Space group F-43m (No. 216)
Asymmetric unit:
V1 0.0000 0.0000 0.0000 x4  12 Co 2.74, 4 Rh 2.86
Co1 0.1250 0.1250 0.6250 x16  6 Co 2.33-2.34
Rh1 0.2500 0.2500 0.2500 x4  12 Co 2.74, 4 V 2.86

Results
Formation enthalpy at 0 K, eV per atom: -0.045

(2)
VCo2Rh2 | PBE-GGA | relaxed

Unit cell a=3.1815 b=3.1815 c=13.5577 alpha=90.00 beta=90.00 gamma=90.00
Last column: nearest neighbours and their distance in Å.
Space group I4/mmm (No. 139)
Asymmetric unit:
V1 0.0000 0.0000 0.0000 x2  8 Rh 2.62
Co1 0.0000 0.5000 0.2500 x4  4 Co 2.25
Rh1 0.0000 0.0000 0.4014 x4  4 Co 2.60, 4 V 2.62, 1 Rh 2.67

Results
Formation enthalpy at 0 K, eV per atom: 0.151

(3)
VCo2Rh2 | PBE-GGA | relaxed

Unit cell a=7.0287 b=7.0287 c=2.7219 alpha=90.00 beta=90.00 gamma=90.00
Last column: nearest neighbours and their distance in Å.
Space group P4/mbm (No. 127)
Asymmetric unit:
V1 0.0000 0.0000 0.0000 x2  2 V 2.72, 4 Rh 2.75, 8 Co 2.95
Co1 0.1668 0.3332 0.5000 x4  6 Rh 2.42-2.52
Rh1 0.1322 0.6322 0.0000 x4  6 Co 2.42-2.52, 1 Rh 2.63

Results
Formation enthalpy at 0 K, eV per atom: 0.152

(4)
VCoRh2 | PBE-GGA | relaxed

Unit cell a=3.6873 b=3.6873 c=16.8860 alpha=90.00 beta=90.00 gamma=90.00
Last column: nearest neighbours and their distance in Å.
Space group I-42d (No. 122)
Asymmetric unit:
V1 0.0000 0.0000 0.0000 x4  4 Rh 2.49, 4 Co 2.61
Co1 0.0000 0.0000 0.5000 x4  4 Rh 2.47, 4 V 2.61
Rh1 0.2412 0.2500 0.6250 x8  2 Co 2.47, 2 V 2.49, 4 Rh 2.56-2.65

Results
Formation enthalpy at 0 K, eV per atom: 0.259